Computed, not measured: U2CuSi3 after structural relaxation at the GGA-PBE level of DFT.

a b c (Å): 3.929 4.028 6.925
angles (deg): 90.00 90.00 90.00
Each line ends with the local moment (μB).
Element x y z (fractional)
U  0.000  0.500  0.992  2.06
U  0.000  0.000  0.509  2.15
Cu  0.500  0.500  0.331  0.04
Si  0.500  0.000  0.836  -0.01
Si  0.500  0.000  0.172  -0.03
Si  0.500  0.500  0.661  -0.01

volume: 109.6 Å³/f.u.
raw formation energy: -0.27 eV/atom
distance to the lowest polymorph of the same formula: 7 meV per atom
uncorrected energy: -44.533 eV per cell

***

Computed, not measured: ScZn2I after structural relaxation at the GGA-PBE level of DFT.

a b c (Å): 8.136 8.136 6.441
angles (deg): 50.83 50.83 90.00
Element x y z (fractional)
I  0.000  0.000  0.000
I  0.750  0.250  0.500
Sc  0.500  0.500  0.000
Sc  0.250  0.750  0.500
Zn  0.609  0.125  0.250
Zn  0.141  0.625  0.250
Zn  0.375  0.391  0.750
Zn  0.875  0.859  0.750

volume: 95.9 Å³/f.u.
raw formation energy: 0.03 eV/atom
distance to the lowest polymorph of the same formula: 0 meV per atom
uncorrected energy: -20.594 eV per cell

***

no.,DOS at the Fermi energy (states/eV per atom)
1,2.285
2,0.843